Entry 1:
This record from the Alexandria database describes a relaxed structure of La2Fe2Au. The functional is GGA-PBE.

The structure belongs to space group P4/mbm (No. 127); the cell edges are 7.228, 7.228 and 4.158 Å and the angles 90.00°, 90.00° and 90.00°. The inequivalent atoms are La at (0.184, 0.316, 0.000), Fe at (0.110, 0.610, 0.500) and Au at (0.000, 0.000, 0.500).

The calculation puts the total magnetization at 3.2 μB per formula unit. As for the total energy: -6.130 eV per atom. The polymorph energy (0 for the lowest one) is 0.0000 eV per atom.


Entry 2:
This record from the Alexandria database describes a relaxed structure of LaFe2Au. The functional is GGA-PBE.

The structure belongs to space group I4_1/amd (No. 141, origin choice 2); the cell edges are 4.501, 4.501 and 18.285 Å and the angles 90.00°, 90.00° and 90.00°. The inequivalent atoms are La at (0.000, 0.250, 0.375), Fe at (0.000, 0.000, 0.000) and Au at (0.000, 0.250, 0.875).

The calculation puts the total magnetization at 4.4 μB per formula unit. As for the total energy: -6.076 eV per atom.


Entry 3:
This record from the Alexandria database describes a relaxed structure of La3FeAu. The functional is GGA-PBE.

The structure belongs to space group C2/m (No. 12); the cell edges are 16.493, 3.936 and 8.657 Å and the angles 90.00°, 92.79° and 90.00°. The inequivalent atoms are La at (0.051, 0.000, 0.306), La at (0.100, 0.500, 0.952), La at (0.240, 0.000, 0.698), Fe at (0.221, 0.000, 0.042) and Au at (0.096, 0.500, 0.576).

The calculation puts the total magnetization at 1.1 μB per formula unit. As for the total energy: -5.592 eV per atom. The polymorph energy (0 for the lowest one) is 0.0000 eV per atom.


Entry 4:
This record from the Alexandria database describes a relaxed structure of LaFeAu. The functional is GGA-PBE.

The structure belongs to space group Imm2 (No. 44); the cell edges are 3.461, 3.566 and 10.627 Å and the angles 90.00°, 90.00° and 90.00°. The inequivalent atoms are La at (0.000, 0.000, 0.000), Fe at (0.000, 0.000, 0.307) and Au at (0.000, 0.000, 0.701).

The calculation puts the total magnetization at 2.4 μB per formula unit. As for the total energy: -5.606 eV per atom.


Entry 5:
This record from the Alexandria database describes a relaxed structure of LaFeAu2. The functional is GGA-PBE.

The structure belongs to space group P4mm (No. 99); the cell edges are 3.581, 3.581 and 6.646 Å and the angles 90.00°, 90.00° and 90.00°. The inequivalent atoms are La at (0.000, 0.000, 0.000), Fe at (0.500, 0.500, 0.687), Au at (0.000, 0.000, 0.527) and Au at (0.500, 0.500, 0.282).

The calculation puts the total magnetization at 2.7 μB per formula unit. As for the total energy: -5.114 eV per atom.


Entry 6:
This record from the Alexandria database describes a relaxed structure of La2FeAu. The functional is GGA-PBE.

The structure belongs to space group I-4m2 (No. 119); the cell edges are 4.423, 4.423 and 9.821 Å and the angles 90.00°, 90.00° and 90.00°. The inequivalent atoms are La at (0.000, 0.000, 0.000), La at (0.000, 0.500, 0.250), Fe at (0.000, 0.000, 0.500) and Au at (0.000, 0.500, 0.750).

The calculation puts the total magnetization at 1.6 μB per formula unit. As for the total energy: -5.457 eV per atom.


Entry 7:
This record from the Alexandria database describes a relaxed structure of LaFeAu2. The functional is GGA-PBE.

The structure belongs to space group Pm (No. 6); the cell edges are 3.825, 4.701 and 5.236 Å and the angles 90.00°, 90.40° and 90.00°. The inequivalent atoms are La at (0.000, 0.000, 0.000), Fe at (0.494, 0.500, 0.713), Au at (0.500, 0.000, 0.516) and Au at (0.504, 0.500, 0.207).

The calculation puts the total magnetization at 2.5 μB per formula unit. As for the total energy: -5.179 eV per atom.


Entry 8:
This record from the Alexandria database describes a relaxed structure of La6Fe2Au. The functional is GGA-PBE.

The structure belongs to space group Immm (No. 71); the cell edges are 9.695, 10.311 and 10.346 Å and the angles 90.00°, 90.00° and 90.00°. The inequivalent atoms are La at (0.000, 0.217, 0.201), La at (0.198, 0.318, 0.500), La at (0.216, 0.500, 0.178), Fe at (0.000, 0.391, 0.000), Fe at (0.000, 0.500, 0.386), Au at (0.000, 0.000, 0.000) and Au at (0.000, 0.000, 0.500).

The calculation puts the total magnetization at 1.7 μB per formula unit. As for the total energy: -5.663 eV per atom.


| no. | energy of formation (eV per atom) |
| --- | --- |
| 1 | -0.119 |
| 2 | 0.207 |
| 3 | -0.287 |
| 4 | -0.050 |
| 5 | -0.128 |
| 6 | -0.058 |
| 7 | -0.193 |
| 8 | -0.133 |